Crystalline BiSbPbCl at its relaxed geometry, computed with PBE.

It has space group F-43m (No. 216), with a = 7.6301 Å, b = 7.6301 Å, c = 7.6301 Å, α = 90.00°, β = 90.00° and γ = 90.00°. The distinct sites, in fractional coordinates, are Bi at (0.0000, 0.0000, 0.0000), Sb at (0.2500, 0.2500, 0.7500), Pb at (0.0000, 0.0000, 0.5000) and Cl at (0.2500, 0.2500, 0.2500).

The value obtained for the uncorrected formation energy is -20 kJ per mole of atoms. Its total magnetization is 0.00 μB per atom. The calculation puts the theoretical density at 8.6 g/cm³. As for the crystal system: cubic. As for the raw total energy: -3.5991 eV/atom.